1.
This record from the Alexandria database describes crystalline Y2Al4CdAu3 at its relaxed geometry. The functional is PBE.

Results
Formation enthalpy at 0 K in eV per atom: -0.62
DOS at the Fermi energy in states/eV per cell: 5.3

Unit cell a=4.291 b=4.291 c=10.993 alpha=90.00 beta=90.00 gamma=90.00
Sites, in units of the cell vectors:
Al: 0.000 0.000 0.000
Al: 0.000 0.500 0.356
Al: 0.500 0.000 0.644
Al: 0.500 0.500 0.000
Au: 0.500 0.000 0.868
Au: 0.000 0.000 0.500
Au: 0.000 0.500 0.132
Cd: 0.500 0.500 0.500
Y: 0.500 0.000 0.247
Y: 0.000 0.500 0.753

2.
This record from the Alexandria database describes crystalline AlZnCd2Au at its relaxed geometry. The functional is PBE.

Results
Formation enthalpy at 0 K in eV per atom: 0.38
DOS at the Fermi energy in states/eV per cell: 1.3

Unit cell a=5.048 b=4.638 c=5.048 alpha=90.00 beta=90.00 gamma=90.00
Sites, in units of the cell vectors:
Au: 0.500 0.500 0.500
Zn: 0.000 0.000 0.000
Cd: 0.500 0.000 0.000
Cd: 0.000 0.000 0.500
Al: 0.000 0.500 0.000

3.
This record from the Alexandria database describes crystalline AlZnCd2Au6 at its relaxed geometry. The functional is PBE.

Results
Formation enthalpy at 0 K in eV per atom: -0.15
DOS at the Fermi energy in states/eV per cell: 2.0

Unit cell a=7.971 b=5.730 c=5.439 alpha=63.74 beta=66.36 gamma=91.05
Sites, in units of the cell vectors:
Au: 0.838 0.802 0.601
Au: 0.322 0.812 0.749
Au: 0.344 0.295 0.772
Au: 0.162 0.198 0.399
Au: 0.678 0.188 0.251
Au: 0.656 0.705 0.228
Cd: 0.785 0.286 0.641
Cd: 0.215 0.714 0.359
Zn: 0.000 0.000 0.000
Al: 0.500 0.500 0.000

4.
This record from the Alexandria database describes crystalline Al2ZnCd2Au5 at its relaxed geometry. The functional is PBE.

Results
Formation enthalpy at 0 K in eV per atom: -0.22
DOS at the Fermi energy in states/eV per cell: 7.1

Unit cell a=2.948 b=11.351 c=11.351 alpha=90.00 beta=90.00 gamma=90.00
Sites, in units of the cell vectors:
Al: 0.000 0.641 0.859
Al: 0.000 0.359 0.141
Al: 0.000 0.859 0.359
Al: 0.000 0.141 0.641
Zn: 0.000 0.500 0.500
Zn: 0.000 0.000 0.000
Cd: 0.000 0.161 0.339
Cd: 0.000 0.839 0.661
Cd: 0.000 0.661 0.161
Cd: 0.000 0.339 0.839
Au: 0.500 0.330 0.605
Au: 0.500 0.895 0.170
Au: 0.500 0.105 0.830
Au: 0.500 0.670 0.395
Au: 0.500 0.605 0.670
Au: 0.500 0.000 0.500
Au: 0.500 0.500 0.000
Au: 0.500 0.170 0.105
Au: 0.500 0.395 0.330
Au: 0.500 0.830 0.895

5.
This record from the Alexandria database describes crystalline ZrAl2CdAu at its relaxed geometry. The functional is PBE.

Results
Formation enthalpy at 0 K in eV per atom: 0.26
DOS at the Fermi energy in states/eV per cell: 3.4

Unit cell a=4.741 b=5.439 c=4.741 alpha=90.00 beta=90.00 gamma=90.00
Sites, in units of the cell vectors:
Au: 0.000 0.000 0.000
Cd: 0.500 0.500 0.500
Al: 0.000 0.000 0.500
Al: 0.500 0.000 0.000
Zr: 0.000 0.500 0.000

6.
This record from the Alexandria database describes crystalline Ce2Al5Au at its relaxed geometry. The functional is PBE.

Results
Formation enthalpy at 0 K in eV per atom: -0.36
DOS at the Fermi energy in states/eV per cell: 9.5

Unit cell a=6.240 b=6.240 c=6.240 alpha=87.90 beta=121.22 gamma=121.22
Site moments in Bohr magnetons follow the coordinates.
Sites, in units of the cell vectors:
Al: 0.000 0.284 0.751  0.00
Al: 0.000 0.751 0.284  0.00
Al: 0.000 0.253 0.253  0.00
Al: 0.533 0.284 0.284  0.00
Al: 0.467 0.751 0.751  0.00
Ce: 0.500 0.767 0.267  0.39
Ce: 0.500 0.267 0.767  0.39
Au: 0.000 0.863 0.863  0.00

7.
This record from the Alexandria database describes crystalline CeAl4Au12 at its relaxed geometry. The functional is PBE.

Results
Formation enthalpy at 0 K in eV per atom: -0.20
DOS at the Fermi energy in states/eV per cell: 10.2

Unit cell a=7.751 b=7.751 c=7.751 alpha=109.47 beta=109.47 gamma=109.47
Site moments in Bohr magnetons follow the coordinates.
Sites, in units of the cell vectors:
Au: 0.499 0.157 0.342  -0.01
Au: 0.658 0.815 0.157  -0.01
Au: 0.157 0.342 0.499  -0.01
Au: 0.342 0.185 0.843  -0.01
Au: 0.185 0.843 0.342  -0.01
Au: 0.843 0.342 0.185  -0.01
Au: 0.658 0.501 0.843  -0.01
Au: 0.157 0.658 0.815  -0.01
Au: 0.342 0.499 0.157  -0.01
Au: 0.815 0.157 0.658  -0.01
Au: 0.501 0.843 0.658  -0.01
Au: 0.843 0.658 0.501  -0.01
Al: 0.000 0.000 0.500  0.00
Al: 0.000 0.500 0.000  0.00
Al: 0.500 0.500 0.500  0.00
Al: 0.500 0.000 0.000  0.00
Ce: 0.000 0.000 0.000  0.87

8.
This record from the Alexandria database describes crystalline Ce3Al8Au3 at its relaxed geometry. The functional is PBE.

Results
Formation enthalpy at 0 K in eV per atom: -0.52
DOS at the Fermi energy in states/eV per cell: 19.0
Energy above the most stable polymorph in this dataset in eV/atom: 0.000

Unit cell a=4.539 b=8.416 c=8.368 alpha=67.70 beta=74.26 gamma=74.36
Site moments in Bohr magnetons follow the coordinates.
Sites, in units of the cell vectors:
Al: 0.864 0.853 0.420  0.00
Al: 0.501 0.679 0.320  0.01
Al: 0.136 0.147 0.580  0.00
Al: 0.853 0.433 0.861  0.00
Al: 0.147 0.567 0.139  0.00
Al: 0.345 0.021 0.289  0.00
Al: 0.655 0.979 0.711  0.00
Al: 0.499 0.321 0.680  0.01
Au: 0.652 0.704 0.992  0.00
Au: 0.000 0.500 0.500  0.02
Au: 0.348 0.296 0.008  0.00
Ce: 0.709 0.284 0.297  0.58
Ce: 0.291 0.716 0.703  0.58
Ce: 0.000 0.000 0.000  0.81